Entry 1:
Tl2Zn2Te3 | GGA-PBE | optimized geometry

## Properties
Total magnetic moment   0.00 μB per formula unit
Formation energy (no corrections)   -351.3 meV per atom
Mass density   6.60 g cm⁻³
SG   C2/c (15)
Crystal system   monoclinic
Calculated total energy   -2.738 eV per atom

```
28
Lattice="7.091 0.013 2.624 3.398 11.083 1.366 -0.393 0.115 11.665" Properties=species:S:1:pos:R:3 pbc="T T T"
Tl 6.422 0.199 4.612
Tl 3.537 2.104 1.506
Tl 6.034 3.334 10.619
Tl 7.056 6.291 7.843
Tl 3.039 4.920 7.812
Tl 4.061 7.877 5.036
Tl 6.559 9.107 14.149
Tl 3.674 11.012 11.043
Zn 5.647 3.938 4.408
Zn 4.445 0.967 7.916
Zn 1.496 2.182 4.739
Zn 2.603 5.887 1.978
Zn 7.493 5.324 13.677
Zn 8.599 9.029 10.916
Zn 5.650 10.244 7.739
Zn 4.449 7.273 11.247
Te 6.020 2.893 6.912
Te 7.010 6.278 4.428
Te 2.998 4.403 4.177
Te 1.895 1.732 7.380
Te 6.424 2.882 13.948
Te 3.672 8.329 1.707
Te 8.200 9.479 8.275
Te 7.097 6.808 11.478
Te 5.640 10.866 5.133
Te 3.085 4.933 11.226
Te 4.076 8.318 8.742
Te 4.455 0.345 10.522
```

=====

Entry 2:
Cs2Ga2SbO6 | GGA-PBE | optimized geometry

## Properties
Total magnetic moment   0.00 μB per formula unit
Formation energy (no corrections)   -1505.0 meV per atom
Mass density   5.04 g cm⁻³
SG   R-3m (166)
Crystal system   trigonal
Calculated total energy   -5.290 eV per atom

```
11
Lattice="-0.293 3.718 4.731 -2.731 -5.366 0.212 7.359 -0.336 0.719" Properties=species:S:1:pos:R:3 pbc="T T T"
Cs -0.436 0.361 3.525
Cs 4.772 -2.345 2.138
Ga 2.640 -1.151 4.903
Ga 1.696 -0.833 0.759
Sb 3.533 1.691 2.725
O 3.677 0.045 4.027
O 2.077 0.762 1.524
O 2.399 -4.530 1.867
O 2.259 -2.745 4.138
O 1.937 2.546 3.796
O 0.659 -2.029 1.635
```

=====

Entry 3:
TiCl | GGA-PBE | optimized geometry

## Properties
Total magnetic moment   0.00 μB per formula unit
Formation energy (no corrections)   -380.8 meV per atom
Mass density   2.42 g cm⁻³
SG   I-43m (217)
Crystal system   cubic
Calculated total energy   -5.252 eV per atom

```
16
Lattice="-2.675 -0.388 7.214 -6.330 -3.582 -2.540 3.482 -6.809 0.925" Properties=species:S:1:pos:R:3 pbc="T T T"
Ti -2.106 -4.111 2.136
Ti -2.782 -6.576 1.753
Ti -1.915 -5.818 4.066
Ti -4.242 -5.053 3.244
Ti -4.867 -9.501 4.936
Ti -2.696 -1.574 6.167
Ti -5.483 -4.011 -1.273
Ti 2.001 -6.472 1.370
Cl -1.053 -2.056 1.068
Cl -2.814 -8.484 0.069
Cl -0.554 -6.508 6.103
Cl -6.624 -4.512 3.959
Cl -3.814 -7.445 3.868
Cl -2.728 -3.482 4.483
Cl -4.122 -4.700 0.763
Cl -0.380 -5.931 2.085
```